A geometry-optimized Ti2Pd3Pt structure. Source: Alexandria, functional PBE.

M_tot   0.00 Bohr magnetons per cell
Polymorph energy (0 for the lowest one)   188.6 meV per atom
Formation energy   -2.788 eV/f.u.

Geometry as CIF:
```
data_Ti2Pd3Pt
_cell_length_a 8.2008
_cell_length_b 8.2008
_cell_length_c 11.7895
_cell_angle_alpha 90.00
_cell_angle_beta 90.00
_cell_angle_gamma 90.00
_symmetry_space_group_name_H-M 'I 41/a m d'
_symmetry_Int_Tables_number 141
loop_
_symmetry_equiv_pos_as_xyz
'x,y,z'
'-x,-y,-z'
'-y+1/4,x+3/4,z+1/4'
'y+1/4,-x+3/4,-z+1/4'
'-x+1/2,-y,z+1/2'
'x+1/2,y,-z+1/2'
'y+1/4,-x+1/4,z+3/4'
'-y+1/4,x+1/4,-z+3/4'
'x,-y,-z'
'-x,y,z'
'-y+1/4,-x+1/4,-z+3/4'
'y+1/4,x+1/4,z+3/4'
'-x+1/2,y,-z+1/2'
'x+1/2,-y,z+1/2'
'y+1/4,x+3/4,-z+1/4'
'-y+1/4,-x+3/4,z+1/4'
'x+1/2,y+1/2,z+1/2'
'-x+1/2,-y+1/2,-z+1/2'
'-y+3/4,x+1/4,z+3/4'
'y+3/4,-x+1/4,-z+3/4'
'-x,-y+1/2,z'
'x,y+1/2,-z'
'y+3/4,-x+3/4,z+1/4'
'-y+3/4,x+3/4,-z+1/4'
'x+1/2,-y+1/2,-z+1/2'
'-x+1/2,y+1/2,z+1/2'
'-y+3/4,-x+3/4,-z+1/4'
'y+3/4,x+3/4,z+1/4'
'-x,y+1/2,-z'
'x,-y+1/2,z'
'y+3/4,x+1/4,-z+3/4'
'-y+3/4,-x+1/4,z+3/4'
loop_
_atom_site_label
_atom_site_fract_x
_atom_site_fract_y
_atom_site_fract_z
Ti1 0.0000 0.0601 0.2807
Pd1 0.0000 0.0000 0.5000
Pd2 0.2036 0.0464 0.8750
Pt1 0.0000 0.2500 0.0886
```

=====

A geometry-optimized TiAl2P structure. Source: Alexandria, functional PBE.

M_tot   0.00 Bohr magnetons per cell
Formation energy   -0.555 eV/f.u.

Geometry as CIF:
```
data_TiAl2P
_cell_length_a 7.2999
_cell_length_b 7.2999
_cell_length_c 5.0589
_cell_angle_alpha 90.00
_cell_angle_beta 90.00
_cell_angle_gamma 90.00
_symmetry_space_group_name_H-M 'I -4 2 d'
_symmetry_Int_Tables_number 122
_symmetry_space_group_name_Hall 'I -4 2bw'
loop_
_atom_site_label
_atom_site_fract_x
_atom_site_fract_y
_atom_site_fract_z
Ti1 0.0000 0.0000 0.0000
Al1 0.2024 0.2500 0.6250
P1 0.0000 0.0000 0.5000
```

=====

A geometry-optimized SrBe2As structure. Source: Alexandria, functional PBE.

M_tot   0.00 Bohr magnetons per cell
Formation energy   1.644 eV/f.u.

Geometry as CIF:
```
data_SrBe2As
_cell_length_a 4.1950
_cell_length_b 4.1950
_cell_length_c 4.3017
_cell_angle_alpha 90.00
_cell_angle_beta 90.00
_cell_angle_gamma 90.00
_symmetry_space_group_name_H-M 'P 4/m m m'
_symmetry_Int_Tables_number 123
_symmetry_space_group_name_Hall '-P 4 2'
loop_
_atom_site_label
_atom_site_fract_x
_atom_site_fract_y
_atom_site_fract_z
Sr1 0.0000 0.0000 0.0000
Be1 0.0000 0.5000 0.5000
As1 0.5000 0.5000 0.0000
```

=====

A geometry-optimized CoRe2Rh structure. Source: Alexandria, functional PBE.

M_tot   1.75 Bohr magnetons per cell
Polymorph energy (0 for the lowest one)   157.5 meV per atom
Formation energy   0.268 eV/f.u.

Geometry as CIF:
```
data_CoRe2Rh
_cell_length_a 8.9481
_cell_length_b 2.7083
_cell_length_c 4.6311
_cell_angle_alpha 90.00
_cell_angle_beta 100.32
_cell_angle_gamma 90.00
_symmetry_space_group_name_H-M 'C 1 2/m 1'
_symmetry_Int_Tables_number 12
loop_
_symmetry_equiv_pos_as_xyz
'x,y,z'
'-x,-y,-z'
'-x,y,-z'
'x,-y,z'
'x+1/2,y+1/2,z'
'-x+1/2,-y+1/2,-z'
'-x+1/2,y+1/2,-z'
'x+1/2,-y+1/2,z'
loop_
_atom_site_label
_atom_site_fract_x
_atom_site_fract_y
_atom_site_fract_z
Co1 0.0000 0.0000 0.0000
Re1 0.2469 0.5000 0.2435
Rh1 0.0000 0.5000 0.5000
```

=====

A geometry-optimized Ac2La3Si4 structure. Source: Alexandria, functional PBE.

M_tot   0.01 Bohr magnetons per cell
ΔE_f (raw)   -646 meV per atom

Geometry as CIF:
```
data_Ac2La3Si4
_cell_length_a 8.1232
_cell_length_b 8.1968
_cell_length_c 8.1183
_cell_angle_alpha 90.00
_cell_angle_beta 105.26
_cell_angle_gamma 90.00
_symmetry_space_group_name_H-M 'P 1 21/c 1'
_symmetry_Int_Tables_number 14
loop_
_symmetry_equiv_pos_as_xyz
'x,y,z'
'-x,-y,-z'
'-x,y+1/2,-z+1/2'
'x,-y+1/2,z+1/2'
loop_
_atom_site_label
_atom_site_fract_x
_atom_site_fract_y
_atom_site_fract_z
Ac1 0.2039 0.1809 0.0949
La1 0.2408 0.6832 0.2568
La2 0.5000 0.0000 0.5000
Si1 0.0820 0.5270 0.8951
Si2 0.4955 0.1138 0.8843
```

=====

A geometry-optimized BaHgGe structure. Source: Alexandria, functional PBE.

M_tot   0.00 Bohr magnetons per cell
Formation energy   -1.356 eV/f.u.

Geometry as CIF:
```
data_BaHgGe
_cell_length_a 4.7173
_cell_length_b 8.4149
_cell_length_c 4.8398
_cell_angle_alpha 90.00
_cell_angle_beta 90.00
_cell_angle_gamma 90.00
_symmetry_space_group_name_H-M 'P m a 2'
_symmetry_Int_Tables_number 28
loop_
_symmetry_equiv_pos_as_xyz
'x,y,z'
'-x,-y,z'
'-x+1/2,y,z'
'x+1/2,-y,z'
loop_
_atom_site_label
_atom_site_fract_x
_atom_site_fract_y
_atom_site_fract_z
Ba1 0.2500 0.2270 0.0000
Hg1 0.2500 0.6002 0.4992
Ge1 0.2500 0.9306 0.5004
```

=====

A geometry-optimized TlRuIN2 structure. Source: Alexandria, functional PBE.

M_tot   4.87 Bohr magnetons per cell
Polymorph energy (0 for the lowest one)   1253.0 meV per atom
ΔE_f (raw)   2292 meV per atom

Geometry as CIF:
```
data_TlRuIN2
_cell_length_a 4.1788
_cell_length_b 4.1788
_cell_length_c 6.9388
_cell_angle_alpha 90.00
_cell_angle_beta 90.00
_cell_angle_gamma 90.00
_symmetry_space_group_name_H-M 'P 4/m m m'
_symmetry_Int_Tables_number 123
_symmetry_space_group_name_Hall '-P 4 2'
loop_
_atom_site_label
_atom_site_fract_x
_atom_site_fract_y
_atom_site_fract_z
Tl1 0.0000 0.0000 0.0000
Ru1 0.5000 0.5000 0.5000
I1 0.0000 0.0000 0.5000
N1 0.0000 0.5000 0.0000
```

=====

A geometry-optimized La2NiAg2 structure. Source: Alexandria, functional PBE.

M_tot   0.00 Bohr magnetons per cell
Polymorph energy (0 for the lowest one)   334.5 meV per atom
Formation energy   0.296 eV/f.u.

Geometry as CIF:
```
data_La2NiAg2
_cell_length_a 7.7321
_cell_length_b 7.7321
_cell_length_c 4.5889
_cell_angle_alpha 90.00
_cell_angle_beta 90.00
_cell_angle_gamma 90.00
_symmetry_space_group_name_H-M 'P 4/m b m'
_symmetry_Int_Tables_number 127
_symmetry_space_group_name_Hall '-P 4 2ab'
loop_
_atom_site_label
_atom_site_fract_x
_atom_site_fract_y
_atom_site_fract_z
La1 0.1746 0.3254 0.0000
Ni1 0.0000 0.0000 0.0000
Ag1 0.1283 0.6283 0.5000
```

=====

A geometry-optimized Zn2CrIr structure. Source: Alexandria, functional PBE.

M_tot   7.14 Bohr magnetons per cell
Polymorph energy (0 for the lowest one)   20.3 meV per atom
Formation energy   -0.291 eV/f.u.

Geometry as CIF:
```
data_Zn2CrIr
_cell_length_a 3.8696
_cell_length_b 3.8696
_cell_length_c 7.5800
_cell_angle_alpha 90.00
_cell_angle_beta 90.00
_cell_angle_gamma 90.00
_symmetry_space_group_name_H-M 'I 4/m m m'
_symmetry_Int_Tables_number 139
_symmetry_space_group_name_Hall '-I 4 2'
loop_
_atom_site_label
_atom_site_fract_x
_atom_site_fract_y
_atom_site_fract_z
Zn1 0.0000 0.5000 0.2500
Cr1 0.0000 0.0000 0.0000
Ir1 0.0000 0.0000 0.5000
```

=====

A geometry-optimized SmPuCdOs structure. Source: Alexandria, functional PBE.

M_tot   21.39 Bohr magnetons per cell
Formation energy   0.187 eV/f.u.

Geometry as CIF:
```
data_SmPuCdOs
_cell_length_a 7.1725
_cell_length_b 7.1725
_cell_length_c 7.1725
_cell_angle_alpha 90.00
_cell_angle_beta 90.00
_cell_angle_gamma 90.00
_symmetry_space_group_name_H-M 'F -4 3 m'
_symmetry_Int_Tables_number 216
_symmetry_space_group_name_Hall 'F -4 2 3'
loop_
_atom_site_label
_atom_site_fract_x
_atom_site_fract_y
_atom_site_fract_z
Sm1 0.0000 0.0000 0.0000
Pu1 0.0000 0.0000 0.5000
Cd1 0.2500 0.2500 0.7500
Os1 0.2500 0.2500 0.2500
```

=====

A geometry-optimized Cd2Sn2I structure. Source: Alexandria, functional PBE.

M_tot   0.00 Bohr magnetons per cell
Polymorph energy (0 for the lowest one)   48.6 meV per atom
ΔE_f (raw)   81 meV per atom

Geometry as CIF:
```
data_Cd2Sn2I
_cell_length_a 4.9967
_cell_length_b 4.9967
_cell_length_c 12.3517
_cell_angle_alpha 90.00
_cell_angle_beta 90.00
_cell_angle_gamma 90.00
_symmetry_space_group_name_H-M 'I 4/m m m'
_symmetry_Int_Tables_number 139
_symmetry_space_group_name_Hall '-I 4 2'
loop_
_atom_site_label
_atom_site_fract_x
_atom_site_fract_y
_atom_site_fract_z
Cd1 0.0000 0.5000 0.2500
Sn1 0.0000 0.0000 0.1162
I1 0.0000 0.0000 0.5000
```

=====

A geometry-optimized Ho4GaS2 structure. Source: Alexandria, functional PBE.

M_tot   0.00 Bohr magnetons per cell
ΔE_f (raw)   -1337 meV per atom

Geometry as CIF:
```
data_Ho4GaS2
_cell_length_a 3.8753
_cell_length_b 12.8364
_cell_length_c 13.2928
_cell_angle_alpha 90.00
_cell_angle_beta 90.00
_cell_angle_gamma 90.00
_symmetry_space_group_name_H-M 'C m c m'
_symmetry_Int_Tables_number 63
_symmetry_space_group_name_Hall '-C 2c 2'
loop_
_atom_site_label
_atom_site_fract_x
_atom_site_fract_y
_atom_site_fract_z
Ho1 0.0000 0.0000 0.0000
Ho2 0.0000 0.2716 0.1208
Ho3 0.0000 0.4375 0.7500
Ga1 0.0000 0.1083 0.7500
S1 0.0000 0.3639 0.5598
```